# GaBPt2

Crystalline GaBPt2 at its relaxed geometry (PBE-GGA, the Alexandria database).

Structure (POSCAR):
```
GaBPt2
1.0
0.000 2.994 2.994
2.994 0.000 2.994
2.994 2.994 0.000
B Pt Ga
1 2 1
direct
0.000 0.000 0.000
0.750 0.750 0.750
0.250 0.250 0.250
0.500 0.500 0.500
```

## Properties
- relative energy among the computed polymorphs (kJ per mole of atoms) = 37.73
- density (g cm⁻³) = 14.565
- M_tot (μB/f.u.) = 0.000
- formation energy from the elements (meV per atom) = 214
- crystal system = cubic



# Ba11AgRh2

Crystalline Ba11AgRh2 at its relaxed geometry (PBE-GGA, the Alexandria database).

Structure (POSCAR):
```
Ba11AgRh2
1.0
12.497 0.000 6.514
5.781 10.658 4.154
1.300 0.001 12.750
Ba Ag Rh
22 2 4
direct
0.153 0.073 0.195
0.080 0.573 0.695
0.435 0.919 0.360
0.815 0.802 0.198
0.920 0.427 0.305
0.347 0.305 0.427
0.065 0.140 0.581
0.580 0.195 0.073
0.787 0.419 0.860
0.315 0.698 0.302
0.565 0.081 0.640
0.287 0.360 0.919
0.420 0.805 0.927
0.653 0.695 0.573
0.000 0.000 0.000
0.500 0.500 0.500
0.213 0.581 0.140
0.713 0.640 0.081
0.685 0.302 0.698
0.185 0.198 0.802
0.935 0.860 0.419
0.847 0.927 0.805
0.250 0.250 0.250
0.750 0.750 0.750
0.164 0.841 0.159
0.836 0.159 0.841
0.664 0.659 0.341
0.336 0.341 0.659
```

## Properties
- density (g cm⁻³) = 3.768
- M_tot (μB/f.u.) = 0.000
- formation energy from the elements (meV per atom) = -1
- crystal system = orthorhombic



# Cs2CdNi

Crystalline Cs2CdNi at its relaxed geometry (PBE-GGA, the Alexandria database).

Structure (POSCAR):
```
Cs2CdNi
1.0
2.274 -5.609 1.537
-0.588 -2.112 5.847
-3.900 -4.718 1.239
Cs Cd Ni
2 1 1
direct
0.250 0.250 0.250
0.750 0.750 0.750
0.500 0.500 0.500
0.000 0.000 0.000
```

## Properties
- relative energy among the computed polymorphs (kJ per mole of atoms) = 22.07
- density (g cm⁻³) = 4.213
- M_tot (μB/f.u.) = 0.134
- formation energy from the elements (meV per atom) = 538
- crystal system = cubic



# PaSnRh4

Crystalline PaSnRh4 at its relaxed geometry (PBE-GGA, the Alexandria database).

Structure (POSCAR):
```
PaSnRh4
1.0
3.565 0.000 1.031
1.946 4.720 -0.050
0.104 -1.384 6.320
Rh Pa Sn
4 1 1
direct
0.173 0.479 0.174
0.827 0.521 0.826
0.636 0.040 0.688
0.364 0.960 0.312
0.500 0.500 0.500
0.000 0.000 0.000
```

## Properties
- relative energy among the computed polymorphs (kJ per mole of atoms) = 0.00
- density (g cm⁻³) = 12.295
- M_tot (μB/f.u.) = 0.000
- formation energy from the elements (meV per atom) = -605
- crystal system = monoclinic